The following is a DFT calculation (PBE) of a relaxed Tm4Co2Au crystal.

Results
As for the calculated formation energy: -352 meV/atom. As for the density of states at the Fermi level: 0.737 states/eV/atom. The energy is -37.8 eV/f.u. For the size of the total moment, the calculation gives 0.00 μB/cell. The volume is 299.8 Å³/cell.

```
Tm4Co2Au
1.0
7.485 -1.324 -0.335
-1.851 7.581 -0.045
-2.885 -3.427 5.721
Tm Co Au
8 4 2
Direct
0.042 0.235 0.390
0.445 0.526 0.314
0.892 0.536 0.625
0.814 0.218 0.824
0.360 0.999 0.255
0.246 0.102 0.747
0.491 0.806 0.872
0.767 0.636 0.113
0.502 0.404 0.643
0.711 0.929 0.370
0.657 0.262 0.144
0.232 0.504 0.905
0.159 0.662 0.388
0.932 0.931 0.908
```